Computed, not measured: an optimized crystal structure of LaHgSb3 at the GGA-PBE level of DFT.

a = 5.5228 Å, b = 5.5228 Å, c = 5.5228 Å
α = 90.00°, β = 90.00°, γ = 90.00°
Space group Pm-3m (No. 221)
Inequivalent atoms, fractional coordinates:
La 0.0000 0.0000 0.0000 x1
Hg 0.5000 0.5000 0.5000 x1
Sb 0.0000 0.5000 0.5000 x3

ρ (g cm⁻³): 6.95
Final energy (eV per cell): -16.885

---

Computed, not measured: an optimized crystal structure of La2Ta4Mo at the GGA-PBE level of DFT.

a = 4.8969 Å, b = 4.8969 Å, c = 15.7581 Å
α = 90.00°, β = 90.00°, γ = 90.00°
Space group I4/mmm (No. 139)
Inequivalent atoms, fractional coordinates:
La 0.0000 0.0000 0.1446 x4
Ta 0.0000 0.0000 0.3437 x4
Ta 0.0000 0.5000 0.0000 x4
Mo 0.0000 0.0000 0.5000 x2

ρ (g cm⁻³): 9.65
DFT formation energy (eV/atom): 1.20

---

Computed, not measured: an optimized crystal structure of LaY14Mg at the GGA-PBE level of DFT.

a = 11.1323 Å, b = 8.3345 Å, c = 11.1362 Å
α = 90.00°, β = 90.00°, γ = 90.00°
Space group Amm2 (No. 38)
Inequivalent atoms, fractional coordinates:
La 0.0000 0.0000 0.0000 x2
Y 0.0000 0.2232 0.7331 x4
Y 0.2447 0.2095 0.5075 x8
Y 0.2512 0.0000 0.7879 x4
Y 0.2538 0.0000 0.2289 x4
Y 0.5000 0.0000 0.4385 x2
Y 0.5000 0.0000 0.9943 x2
Y 0.5000 0.2094 0.7161 x4
Mg 0.0000 0.0000 0.4637 x2

ρ (g cm⁻³): 4.53
DFT formation energy (eV/atom): 0.05

---

Computed, not measured: an optimized crystal structure of Al2GeN2 at the GGA-PBE level of DFT.

a = 3.8043 Å, b = 3.8043 Å, c = 11.4872 Å
α = 90.00°, β = 90.00°, γ = 90.00°
Space group I4/mmm (No. 139)
Inequivalent atoms, fractional coordinates:
Al 0.0000 0.0000 0.2325 x4
Ge 0.0000 0.0000 0.0000 x2
N 0.0000 0.5000 0.2500 x4

ρ (g cm⁻³): 3.09
Final energy (eV per cell): -59.081

---

Computed, not measured: an optimized crystal structure of MnFeOs2 at the GGA-PBE level of DFT.

a = 2.6597 Å, b = 2.6597 Å, c = 25.5521 Å
α = 90.00°, β = 90.00°, γ = 120.00°
Space group R-3m (No. 166, hexagonal axes)
Inequivalent atoms, fractional coordinates:
Mn 0.0000 0.0000 0.0000 x3
Fe 0.0000 0.0000 0.5000 x3
Os 0.0000 0.0000 0.2517 x6

ρ (g cm⁻³): 15.63
DFT formation energy (eV/atom): 0.14

---

Computed, not measured: an optimized crystal structure of CuReIO2 at the GGA-PBE level of DFT.

a = 3.8475 Å, b = 3.8475 Å, c = 5.7647 Å
α = 90.00°, β = 90.00°, γ = 90.00°
Space group P4/mmm (No. 123)
Inequivalent atoms, fractional coordinates:
Cu 0.0000 0.0000 0.0000 x1
Re 0.5000 0.5000 0.5000 x1
I 0.0000 0.0000 0.5000 x1
O 0.0000 0.5000 0.0000 x2

ρ (g cm⁻³): 7.95
Final energy (eV per cell): -22.714